# GaP2RuO PBE-GGA optimized geometry
# DFT total energy (eV per atom): -5.496
# Crystal system: tetragonal
# Offset from the most stable computed form (meV/atom): 0
# Total moment (μB/atom): 0.0564
data_GaP2RuO
_chemical_formula_sum 'Ga1 P2 Ru1 O1'
_cell_length_a 4.7982
_cell_length_b 4.7982
_cell_length_c 3.7059
_cell_angle_alpha 90.00
_cell_angle_beta 90.00
_cell_angle_gamma 90.00
_symmetry_space_group_name_H-M 'P 4/m m m'
_symmetry_Int_Tables_number 123
_symmetry_space_group_name_Hall '-P 4 2'
loop_
_atom_site_label
_atom_site_fract_x
_atom_site_fract_y
_atom_site_fract_z
Ga1 0.0000 0.0000 0.0000
P1 0.0000 0.5000 0.5000
Ru1 0.5000 0.5000 0.5000
O1 0.5000 0.5000 0.0000

# Rb3DyTh3S8 PBE-GGA optimized geometry
# DFT total energy (eV per atom): -5.954
# Crystal system: trigonal
# Total moment (μB/atom): 0.0000
data_Rb3DyTh3S8
_chemical_formula_sum 'Rb9 Dy3 Th9 S24'
_cell_length_a 8.2167
_cell_length_b 8.2167
_cell_length_c 23.6591
_cell_angle_alpha 90.00
_cell_angle_beta 90.00
_cell_angle_gamma 120.00
_symmetry_space_group_name_H-M 'R -3 m'
_symmetry_Int_Tables_number 166
_symmetry_space_group_name_Hall '-R 3 2"'
loop_
_atom_site_label
_atom_site_fract_x
_atom_site_fract_y
_atom_site_fract_z
Rb1 0.0000 0.5000 0.0000
Dy1 0.0000 0.0000 0.5000
Th1 0.0000 0.5000 0.5000
S1 0.0000 0.0000 0.2345
S2 0.0053 0.5027 0.2304

# Sr2RuSe PBE-GGA optimized geometry
# DFT total energy (eV per atom): -4.489
# Crystal system: trigonal
# Total moment (μB/atom): 0.0000
data_Sr2RuSe
_chemical_formula_sum 'Sr6 Ru3 Se3'
_cell_length_a 4.3040
_cell_length_b 4.3040
_cell_length_c 23.9665
_cell_angle_alpha 90.00
_cell_angle_beta 90.00
_cell_angle_gamma 120.00
_symmetry_space_group_name_H-M 'R 3 m'
_symmetry_Int_Tables_number 160
_symmetry_space_group_name_Hall 'R 3 -2"'
loop_
_atom_site_label
_atom_site_fract_x
_atom_site_fract_y
_atom_site_fract_z
Sr1 0.0000 0.0000 0.0000
Sr2 0.0000 0.0000 0.1709
Ru1 0.0000 0.0000 0.7531
Se1 0.0000 0.0000 0.4175

# TmMgP2Rh5 PBE-GGA optimized geometry
# DFT total energy (eV per atom): -6.517
# Crystal system: tetragonal
# Total moment (μB/atom): 0.0000
# Energy of formation from the pure elements (eV/atom): -0.556
data_TmMgP2Rh5
_chemical_formula_sum 'Tm1 Mg1 P2 Rh5'
_cell_length_a 4.0905
_cell_length_b 4.0905
_cell_length_c 9.5854
_cell_angle_alpha 90.00
_cell_angle_beta 90.00
_cell_angle_gamma 90.00
_symmetry_space_group_name_H-M 'P 4/m m m'
_symmetry_Int_Tables_number 123
_symmetry_space_group_name_Hall '-P 4 2'
loop_
_atom_site_label
_atom_site_fract_x
_atom_site_fract_y
_atom_site_fract_z
Tm1 0.0000 0.0000 0.0000
Mg1 0.0000 0.0000 0.5000
P1 0.5000 0.5000 0.2333
Rh1 0.0000 0.5000 0.3299
Rh2 0.5000 0.5000 0.0000

# BaNaCa2Rh PBE-GGA optimized geometry
# DFT total energy (eV per atom): -3.090
# Crystal system: tetragonal
# Offset from the most stable computed form (meV/atom): 0
# Total moment (μB/atom): 0.0000
# Energy of formation from the pure elements (eV/atom): -0.171
data_BaNaCa2Rh
_chemical_formula_sum 'Ba1 Na1 Ca2 Rh1'
_cell_length_a 5.6487
_cell_length_b 5.6487
_cell_length_c 6.0899
_cell_angle_alpha 90.00
_cell_angle_beta 90.00
_cell_angle_gamma 90.00
_symmetry_space_group_name_H-M 'P 4/m m m'
_symmetry_Int_Tables_number 123
_symmetry_space_group_name_Hall '-P 4 2'
loop_
_atom_site_label
_atom_site_fract_x
_atom_site_fract_y
_atom_site_fract_z
Ba1 0.0000 0.0000 0.0000
Na1 0.5000 0.5000 0.0000
Ca1 0.0000 0.5000 0.5000
Rh1 0.0000 0.0000 0.5000

# ScCd2Se PBE-GGA optimized geometry
# DFT total energy (eV per atom): -3.076
# Crystal system: trigonal
# Total moment (μB/atom): 0.0000
data_ScCd2Se
_chemical_formula_sum 'Sc3 Cd6 Se3'
_cell_length_a 3.8110
_cell_length_b 3.8110
_cell_length_c 23.6395
_cell_angle_alpha 90.00
_cell_angle_beta 90.00
_cell_angle_gamma 120.00
_symmetry_space_group_name_H-M 'R -3 m'
_symmetry_Int_Tables_number 166
_symmetry_space_group_name_Hall '-R 3 2"'
loop_
_atom_site_label
_atom_site_fract_x
_atom_site_fract_y
_atom_site_fract_z
Sc1 0.0000 0.0000 0.0000
Cd1 0.0000 0.0000 0.2420
Se1 0.0000 0.0000 0.5000

# AsOsF2 PBE-GGA optimized geometry
# DFT total energy (eV per atom): -5.191
# Crystal system: trigonal
# Offset from the most stable computed form (meV/atom): 0
# Total moment (μB/atom): 0.4310
data_AsOsF2
_chemical_formula_sum 'As3 Os3 F6'
_cell_length_a 2.7389
_cell_length_b 2.7389
_cell_length_c 26.9312
_cell_angle_alpha 90.00
_cell_angle_beta 90.00
_cell_angle_gamma 120.00
_symmetry_space_group_name_H-M 'R -3 m'
_symmetry_Int_Tables_number 166
_symmetry_space_group_name_Hall '-R 3 2"'
loop_
_atom_site_label
_atom_site_fract_x
_atom_site_fract_y
_atom_site_fract_z
As1 0.0000 0.0000 0.0000
Os1 0.0000 0.0000 0.5000
F1 0.0000 0.0000 0.0698

# RbCaS3 PBE-GGA optimized geometry
# DFT total energy (eV per atom): -3.638
# Crystal system: cubic
# Offset from the most stable computed form (meV/atom): 0
# Total moment (μB/atom): 0.6000
data_RbCaS3
_chemical_formula_sum 'Rb1 Ca1 S3'
_cell_length_a 5.4328
_cell_length_b 5.4328
_cell_length_c 5.4328
_cell_angle_alpha 90.00
_cell_angle_beta 90.00
_cell_angle_gamma 90.00
_symmetry_space_group_name_H-M 'P m -3 m'
_symmetry_Int_Tables_number 221
_symmetry_space_group_name_Hall '-P 4 2 3'
loop_
_atom_site_label
_atom_site_fract_x
_atom_site_fract_y
_atom_site_fract_z
Rb1 0.0000 0.0000 0.0000
Ca1 0.5000 0.5000 0.5000
S1 0.0000 0.5000 0.5000

# HoTlHg3 PBE-GGA optimized geometry
# DFT total energy (eV per atom): -1.711
# Crystal system: orthorhombic
# Offset from the most stable computed form (meV/atom): 43
# Total moment (μB/atom): 0.0000
# Energy of formation from the pure elements (eV/atom): -0.142
data_HoTlHg3
_chemical_formula_sum 'Ho4 Tl4 Hg12'
_cell_length_a 6.2395
_cell_length_b 15.9546
_cell_length_c 5.6593
_cell_angle_alpha 90.00
_cell_angle_beta 90.00
_cell_angle_gamma 90.00
_symmetry_space_group_name_H-M 'C m c m'
_symmetry_Int_Tables_number 63
_symmetry_space_group_name_Hall '-C 2c 2'
loop_
_atom_site_label
_atom_site_fract_x
_atom_site_fract_y
_atom_site_fract_z
Ho1 0.0000 0.1794 0.2500
Tl1 0.0000 0.3886 0.7500
Hg1 0.0000 0.0000 0.0000
Hg2 0.2444 0.1591 0.7500

# Tb12SmDy7 PBE-GGA optimized geometry
# DFT total energy (eV per atom): -4.332
# Crystal system: trigonal
# Offset from the most stable computed form (meV/atom): 0
# Total moment (μB/atom): 0.0000
# Energy of formation from the pure elements (eV/atom): 0.292
data_Tb12SmDy7
_chemical_formula_sum 'Tb36 Sm3 Dy21'
_cell_length_a 12.8247
_cell_length_b 12.8247
_cell_length_c 13.6977
_cell_angle_alpha 90.00
_cell_angle_beta 90.00
_cell_angle_gamma 120.00
_symmetry_space_group_name_H-M 'R -3'
_symmetry_Int_Tables_number 148
_symmetry_space_group_name_Hall '-R 3'
loop_
_atom_site_label
_atom_site_fract_x
_atom_site_fract_y
_atom_site_fract_z
Tb1 0.0018 0.4356 0.2484
Tb2 0.0680 0.1994 0.3457
Sm1 0.0000 0.0000 0.0000
Dy1 0.0000 0.0000 0.5000
Dy2 0.0680 0.8671 0.8496

# Ce2MgBe PBE-GGA optimized geometry
# DFT total energy (eV per atom): -3.727
# Crystal system: trigonal
# Offset from the most stable computed form (meV/atom): 446
# Total moment (μB/atom): 0.0117
# Energy of formation from the pure elements (eV/atom): 0.570
data_Ce2MgBe
_chemical_formula_sum 'Ce6 Mg3 Be3'
_cell_length_a 2.9611
_cell_length_b 2.9611
_cell_length_c 35.3848
_cell_angle_alpha 90.00
_cell_angle_beta 90.00
_cell_angle_gamma 120.00
_symmetry_space_group_name_H-M 'R -3 m'
_symmetry_Int_Tables_number 166
_symmetry_space_group_name_Hall '-R 3 2"'
loop_
_atom_site_label
_atom_site_fract_x
_atom_site_fract_y
_atom_site_fract_z
Ce1 0.0000 0.0000 0.0828
Mg1 0.0000 0.0000 0.5000
Be1 0.0000 0.0000 0.0000

# CeSmGeS PBE-GGA optimized geometry
# DFT total energy (eV per atom): -6.264
# Crystal system: trigonal
# Total moment (μB/atom): 0.1271
data_CeSmGeS
_chemical_formula_sum 'Ce3 Sm3 Ge3 S3'
_cell_length_a 4.1522
_cell_length_b 4.1522
_cell_length_c 20.1771
_cell_angle_alpha 90.00
_cell_angle_beta 90.00
_cell_angle_gamma 120.00
_symmetry_space_group_name_H-M 'R 3 m'
_symmetry_Int_Tables_number 160
_symmetry_space_group_name_Hall 'R 3 -2"'
loop_
_atom_site_label
_atom_site_fract_x
_atom_site_fract_y
_atom_site_fract_z
Ce1 0.0000 0.0000 0.0000
Sm1 0.0000 0.0000 0.5027
Ge1 0.0000 0.0000 0.7497
S1 0.0000 0.0000 0.2511